VASP calculation (GGA-PBE) on an optimized crystal structure of HfU2PaC4.

Cell: 3.4655 6.0734 5.9874 Å, 109.68 90.00 90.00°
Last column: nearest neighbours and their distance in Å.
Element x y z (fractional)
C (0.5000, 0.2711, 0.2535)  1 Hf 2.38, 3 U 2.39-2.55, 2 Pa 2.52
C (0.5000, 0.7289, 0.7465)  1 Hf 2.38, 3 U 2.39-2.55, 2 Pa 2.52
C (0.0000, 0.7407, 0.2496)  3 U 2.42-2.48, 2 Hf 2.43, 1 Pa 2.51
C (0.0000, 0.2593, 0.7504)  3 U 2.42-2.48, 2 Hf 2.43, 1 Pa 2.51
Pa (0.0000, 0.0000, 0.0000)  6 C 2.51-2.52
U (0.0000, 0.5000, 0.5000)  6 C 2.39-2.42
U (0.5000, 0.0000, 0.5000)  6 C 2.48-2.55
Hf (0.5000, 0.5000, 0.0000)  6 C 2.38-2.43

DOS(E_F): 0.9147 states/eV per atom
formation energy: -38 kJ/mol of atoms
VASP energy: -10.2565 eV per atom

---

VASP calculation (GGA-PBE) on an optimized crystal structure of Hf2PaVC4.

Cell: 3.3052 5.9119 11.3717 Å, 90.00 90.00 106.23°
Last column: nearest neighbours and their distance in Å.
Element x y z (fractional)
C (0.7358, 0.4717, 0.8778)  1 V 1.90
C (0.7358, 0.4717, 0.6222)  1 V 1.90
C (0.2642, 0.5283, 0.1222)  1 V 1.90
C (0.0000, 0.0000, 0.0000)  4 Hf 2.27
C (0.4451, 0.8902, 0.7500)  2 V 2.02
C (0.2642, 0.5283, 0.3778)  1 V 1.90
C (0.5549, 0.1098, 0.2500)  2 V 2.02
C (0.0000, 0.0000, 0.5000)  4 Hf 2.27
V (0.8435, 0.6870, 0.7500)  4 C 1.90-2.02
V (0.1565, 0.3130, 0.2500)  4 C 1.90-2.02
Pa (0.8915, 0.7829, 0.2500)  6 C 2.48-2.63
Pa (0.1085, 0.2171, 0.7500)  6 C 2.48-2.63
Hf (0.6303, 0.2607, 0.0424)  5 C 2.22-2.42
Hf (0.3697, 0.7393, 0.9576)  5 C 2.22-2.42
Hf (0.6303, 0.2607, 0.4576)  5 C 2.22-2.42
Hf (0.3697, 0.7393, 0.5424)  5 C 2.22-2.42

DOS(E_F): 0.5336 states/eV per atom
formation energy: -49 kJ/mol of atoms
VASP energy: -9.9300 eV per atom

---

VASP calculation (GGA-PBE) on an optimized crystal structure of Hf2ZrPaC4.

Cell: 3.3865 5.8758 5.8796 Å, 70.75 90.00 90.00°
Last column: nearest neighbours and their distance in Å.
Element x y z (fractional)
C (0.0000, 0.7612, 0.7424)  3 Hf 2.36-2.38, 1 Zr 2.41, 2 Pa 2.45
C (0.5000, 0.7560, 0.2492)  3 Hf 2.37-2.38, 2 Zr 2.42, 1 Pa 2.42
C (0.0000, 0.2388, 0.2576)  3 Hf 2.36-2.38, 1 Zr 2.41, 2 Pa 2.45
C (0.5000, 0.2440, 0.7508)  3 Hf 2.37-2.38, 2 Zr 2.42, 1 Pa 2.42
Hf (0.5000, 0.0000, 0.5000)  6 C 2.36-2.37
Hf (0.0000, 0.0000, 0.0000)  6 C 2.38
Pa (0.5000, 0.5000, 0.0000)  6 C 2.42-2.45
Zr (0.0000, 0.5000, 0.5000)  6 C 2.41-2.42

DOS(E_F): 0.2402 states/eV per atom
formation energy: -72 kJ/mol of atoms
VASP energy: -10.1022 eV per atom

---

VASP calculation (GGA-PBE) on an optimized crystal structure of Hf2PbC.

Cell: 4.7173 4.7173 4.7173 Å, 60.00 60.00 60.00°
Last column: nearest neighbours and their distance in Å.
Element x y z (fractional)
Hf (0.2500, 0.2500, 0.2500)  4 Pb 2.89, 4 C 2.89
Hf (0.7500, 0.7500, 0.7500)  4 Pb 2.89, 4 C 2.89
C (0.0000, 0.0000, 0.0000)  8 Hf 2.89
Pb (0.5000, 0.5000, 0.5000)  8 Hf 2.89

DOS(E_F): 0.8388 states/eV per atom
formation energy: 99 kJ/mol of atoms
VASP energy: -7.1882 eV per atom

---

VASP calculation (GGA-PBE) on an optimized crystal structure of HfPb3C.

Cell: 5.6646 5.6646 5.6646 Å, 90.00 90.00 90.00°
Last column: nearest neighbours and their distance in Å.
Element x y z (fractional)
Pb (0.5000, 0.0000, 0.0000)  2 Hf 2.83
Pb (0.0000, 0.5000, 0.0000)  2 Hf 2.83
Pb (0.0000, 0.0000, 0.5000)  2 Hf 2.83
Hf (0.0000, 0.0000, 0.0000)  6 Pb 2.83
C (0.5000, 0.5000, 0.5000)  12 Pb 4.01

DOS(E_F): 0.7051 states/eV per atom
formation energy: 167 kJ/mol of atoms
VASP energy: -4.3247 eV per atom

---

VASP calculation (GGA-PBE) on an optimized crystal structure of Hf2PbC.

Cell: 3.3903 3.3903 7.6592 Å, 77.21 77.21 60.00°
Last column: nearest neighbours and their distance in Å.
Element x y z (fractional)
C (0.0000, 0.0000, 0.0000)  6 Hf 2.28
Hf (0.2804, 0.2804, 0.1589)  3 C 2.28
Hf (0.7196, 0.7196, 0.8411)  3 C 2.28
Pb (0.5000, 0.5000, 0.5000)  6 Hf 3.20, 6 Pb 3.39

DOS(E_F): 0.5137 states/eV per atom
formation energy: -57 kJ/mol of atoms
VASP energy: -8.8011 eV per atom

---

VASP calculation (GGA-PBE) on an optimized crystal structure of HfPbC.

Cell: 3.7464 3.7464 10.6937 Å, 79.91 79.91 60.00°
Last column: nearest neighbours and their distance in Å.
Element x y z (fractional)
Hf (0.3705, 0.3705, 0.8886)  4 C 2.17-2.20
Hf (0.6295, 0.6295, 0.1114)  4 C 2.17-2.20
Pb (0.1244, 0.1244, 0.6268)  9 Pb 3.43-3.75, 3 Hf 3.49, 3 C 3.60
Pb (0.8756, 0.8756, 0.3732)  9 Pb 3.43-3.75, 3 Hf 3.49, 3 C 3.60
C (0.6996, 0.6996, 0.9013)  4 Hf 2.17-2.20
C (0.3004, 0.3004, 0.0987)  4 Hf 2.17-2.20

DOS(E_F): 0.3342 states/eV per atom
formation energy: -10 kJ/mol of atoms
VASP energy: -7.7297 eV per atom

---

VASP calculation (GGA-PBE) on an optimized crystal structure of Hf6PbC.

Cell: 5.5984 5.5985 5.5984 Å, 79.14 100.87 79.13°
Last column: nearest neighbours and their distance in Å.
Element x y z (fractional)
Hf (0.9070, 0.6716, 0.2348)  1 C 2.26
Hf (0.2348, 0.0931, 0.3284)  1 C 2.26
Hf (0.7652, 0.9069, 0.6716)  1 C 2.26
Hf (0.6716, 0.2347, 0.0931)  1 C 2.26
Hf (0.3284, 0.7653, 0.9069)  1 C 2.26
Hf (0.0930, 0.3284, 0.7652)  1 C 2.26
Pb (0.5000, 0.5000, 0.5000)  12 Hf 3.14-3.25
C (0.0000, 0.0000, 0.0000)  6 Hf 2.26

DOS(E_F): 0.6425 states/eV per atom
formation energy: -22 kJ/mol of atoms
VASP energy: -9.3126 eV per atom

---

VASP calculation (GGA-PBE) on an optimized crystal structure of Hf2PbC.

Cell: 3.3560 3.3560 7.7121 Å, 77.43 77.43 60.00°
Last column: nearest neighbours and their distance in Å.
Element x y z (fractional)
Pb (0.4993, 0.4993, 0.5022)  6 Hf 3.16-3.19, 6 Pb 3.36
C (0.6674, 0.6674, 0.9978)  6 Hf 2.28-2.30
Hf (0.0543, 0.0543, 0.8370)  3 C 2.28
Hf (0.2790, 0.2790, 0.1630)  3 C 2.30

DOS(E_F): 0.2228 states/eV per atom
formation energy: -60 kJ/mol of atoms
VASP energy: -8.8307 eV per atom

---

VASP calculation (GGA-PBE) on an optimized crystal structure of Hf2PbC.

Cell: 3.3738 3.3738 14.7859 Å, 90.00 90.00 120.00°
Last column: nearest neighbours and their distance in Å.
Element x y z (fractional)
Hf (0.3333, 0.6667, 0.4189)  3 C 2.29
Hf (0.6667, 0.3333, 0.9189)  3 C 2.29
Hf (0.3333, 0.6667, 0.0811)  3 C 2.29
Hf (0.6667, 0.3333, 0.5811)  3 C 2.29
C (0.0000, 0.0000, 0.0000)  6 Hf 2.29
C (0.0000, 0.0000, 0.5000)  6 Hf 2.29
Pb (0.6667, 0.3333, 0.2500)  6 Hf 3.17, 6 Pb 3.37
Pb (0.3333, 0.6667, 0.7500)  6 Hf 3.17, 6 Pb 3.37

DOS(E_F): 0.3562 states/eV per atom
formation energy: -61 kJ/mol of atoms
VASP energy: -8.8439 eV per atom

---

VASP calculation (GGA-PBE) on an optimized crystal structure of Hf5Pb2C.

Cell: 4.2355 8.4144 11.5454 Å, 90.00 90.00 104.58°
Last column: nearest neighbours and their distance in Å.
Element x y z (fractional)
Hf (0.8743, 0.7486, 0.6180)  1 C 2.23
Hf (0.2595, 0.5190, 0.7500)  2 C 2.13
Hf (0.8743, 0.7486, 0.8820)  1 C 2.23
Hf (0.1257, 0.2514, 0.1180)  1 C 2.23
Hf (0.3015, 0.6029, 0.0627)  1 C 2.49
Hf (0.1257, 0.2514, 0.3820)  1 C 2.23
Hf (0.6985, 0.3971, 0.5627)  1 C 2.49
Hf (0.7405, 0.4810, 0.2500)  2 C 2.13
Hf (0.3015, 0.6029, 0.4373)  1 C 2.49
Hf (0.6985, 0.3971, 0.9373)  1 C 2.49
C (0.7747, 0.5494, 0.7500)  4 Hf 2.13-2.23
C (0.2253, 0.4506, 0.2500)  4 Hf 2.13-2.23
Pb (0.0648, 0.1295, 0.6257)  1 Pb 2.87, 4 Hf 2.98-3.12
Pb (0.9352, 0.8705, 0.1257)  1 Pb 2.87, 4 Hf 2.98-3.12
Pb (0.0648, 0.1295, 0.8743)  1 Pb 2.87, 4 Hf 2.98-3.12
Pb (0.9352, 0.8705, 0.3743)  1 Pb 2.87, 4 Hf 2.98-3.12

DOS(E_F): 0.6737 states/eV per atom
formation energy: 18 kJ/mol of atoms
VASP energy: -8.1132 eV per atom

---

VASP calculation (GGA-PBE) on an optimized crystal structure of Hf6Pb2C.

Cell: 5.9657 6.8922 9.2862 Å, 90.00 91.95 90.00°
Last column: nearest neighbours and their distance in Å.
Element x y z (fractional)
Pb (0.0930, 0.6004, 0.2530)  9 Hf 2.91-3.22
Pb (0.9070, 0.3996, 0.7470)  9 Hf 2.91-3.22
Pb (0.5930, 0.8996, 0.7530)  9 Hf 2.91-3.22
Pb (0.4070, 0.1004, 0.2470)  9 Hf 2.91-3.22
Hf (0.3490, 0.7962, 0.0277)  1 C 2.25
Hf (0.8360, 0.6777, 0.9764)  1 C 2.37
Hf (0.6160, 0.4881, 0.2444)  1 C 2.35
Hf (0.1160, 0.0119, 0.7444)  1 C 2.35
Hf (0.6510, 0.2038, 0.9723)  1 C 2.25
Hf (0.8840, 0.9881, 0.2556)  1 C 2.35
Hf (0.1510, 0.2962, 0.4723)  1 C 2.25
Hf (0.3360, 0.8223, 0.4764)  1 C 2.37
Hf (0.6640, 0.1777, 0.5236)  1 C 2.37
Hf (0.8490, 0.7038, 0.5277)  1 C 2.25
Hf (0.3840, 0.5119, 0.7556)  1 C 2.35
Hf (0.1640, 0.3223, 0.0236)  1 C 2.37
C (0.5000, 0.5000, 0.0000)  6 Hf 2.25-2.37
C (0.0000, 0.0000, 0.5000)  6 Hf 2.25-2.37

DOS(E_F): 0.5707 states/eV per atom
formation energy: -10 kJ/mol of atoms
VASP energy: -8.5831 eV per atom

---

M_tot (computed, μB/f.u.): 0.00 0.00 0.00 0.00 1.75 0.00 0.00 0.00 0.00 0.00 0.00 0.00